[1]
Dy2HoZn3: optimized geometry, PBE.

Properties
VASP energy ... -3.2758 eV/atom

a b c (Å): 5.0392 5.0392 6.1742
angles (deg): 90.00 90.00 120.00
Space group P-3m1 (No. 164)
Inequivalent atoms, fractional coordinates:
Dy 0.3333 0.6667 0.1678 (multiplicity 2)
Ho 0.0000 0.0000 0.5000 (multiplicity 1)
Zn 0.0000 0.0000 0.0000 (multiplicity 1)
Zn 0.3333 0.6667 0.6666 (multiplicity 2)

[2]
Dy6HoZn: optimized geometry, PBE.

Properties
VASP energy ... -4.1386 eV/atom

a b c (Å): 9.2254 9.2254 9.7410
angles (deg): 90.00 90.00 120.00
Space group R-3 (No. 148, hexagonal axes)
Inequivalent atoms, fractional coordinates:
Dy 0.0307 0.2498 0.2062 (multiplicity 18)
Ho 0.0000 0.0000 0.5000 (multiplicity 3)
Zn 0.0000 0.0000 0.0000 (multiplicity 3)

[3]
Dy3HoZn2: optimized geometry, PBE.

Properties
Energy above the most stable polymorph in this dataset ... 0.000 eV/f.u.

a b c (Å): 5.0179 9.0586 6.7409
angles (deg): 90.00 90.00 90.00
Space group Pmc2_1 (No. 26)
Inequivalent atoms, fractional coordinates:
Dy 0.0000 0.0560 0.0000 (multiplicity 2)
Dy 0.0000 0.3269 0.3465 (multiplicity 2)
Dy 0.5000 0.1746 0.6830 (multiplicity 2)
Ho 0.5000 0.4441 0.0303 (multiplicity 2)
Zn 0.0000 0.3500 0.7886 (multiplicity 2)
Zn 0.5000 0.1504 0.2415 (multiplicity 2)

[4]
Dy4Ho9Zn11: optimized geometry, PBE.

Properties
VASP energy ... -3.3136 eV/atom

a b c (Å): 15.3340 21.0913 3.4367
angles (deg): 90.00 90.00 90.00
Space group Cmmm (No. 65)
Inequivalent atoms, fractional coordinates:
Dy 0.1678 0.0870 0.0000 (multiplicity 8)
Ho 0.0000 0.0000 0.0000 (multiplicity 2)
Ho 0.1144 0.2373 0.0000 (multiplicity 8)
Ho 0.1136 0.4086 0.0000 (multiplicity 8)
Zn 0.0000 0.1310 0.5000 (multiplicity 4)
Zn 0.0000 0.3242 0.5000 (multiplicity 4)
Zn 0.0000 0.5000 0.5000 (multiplicity 2)
Zn 0.2167 0.5000 0.5000 (multiplicity 4)
Zn 0.2344 0.3181 0.5000 (multiplicity 8)

[5]
DyHo4Zn2: optimized geometry, PBE.

Properties
VASP energy ... -3.5008 eV/atom

a b c (Å): 4.9291 4.9291 29.3093
angles (deg): 90.00 90.00 120.00
Space group R-3m (No. 166, hexagonal axes)
Inequivalent atoms, fractional coordinates:
Dy 0.0000 0.0000 0.0000 (multiplicity 3)
Ho 0.0000 0.0000 0.2020 (multiplicity 6)
Ho 0.0000 0.0000 0.3987 (multiplicity 6)
Zn 0.0000 0.0000 0.1001 (multiplicity 6)

[6]
Dy2HoZn4: optimized geometry, PBE.

Properties
VASP energy ... -2.8563 eV/atom

a b c (Å): 5.1328 5.1328 12.4258
angles (deg): 90.00 90.00 90.00
Space group I4/mmm (No. 139)
Inequivalent atoms, fractional coordinates:
Dy 0.0000 0.0000 0.2247 (multiplicity 4)
Ho 0.0000 0.0000 0.5000 (multiplicity 2)
Zn 0.0000 0.5000 0.1099 (multiplicity 8)

[7]
DyHo3Zn: optimized geometry, PBE.

Properties
Energy above the most stable polymorph in this dataset ... 0.000 eV/f.u.

a b c (Å): 28.8163 3.6075 5.3499
angles (deg): 90.00 90.40 90.00
Space group C2/m (No. 12)
Inequivalent atoms, fractional coordinates:
Dy 0.2318 0.0000 0.2491 (multiplicity 4)
Ho 0.0453 0.5000 0.7372 (multiplicity 4)
Ho 0.1234 0.5000 0.2441 (multiplicity 4)
Ho 0.1581 0.0000 0.7465 (multiplicity 4)
Zn 0.0395 0.0000 0.2261 (multiplicity 4)

[8]
Dy2Ho3Zn2: optimized geometry, PBE.

Properties
Energy above the most stable polymorph in this dataset ... 0.000 eV/f.u.

a b c (Å): 5.2338 5.2338 23.0883
angles (deg): 90.00 90.00 120.00
Space group R-3m (No. 166, hexagonal axes)
Inequivalent atoms, fractional coordinates:
Dy 0.0000 0.0000 0.0795 (multiplicity 6)
Ho 0.0000 0.0000 0.3423 (multiplicity 6)
Ho 0.0000 0.0000 0.5000 (multiplicity 3)
Zn 0.0000 0.0000 0.2131 (multiplicity 6)

Number 1: N(E_F) 7.17 states/eV/f.u.. Number 2: N(E_F) 10.27 states/eV/f.u.. Number 3: N(E_F) 3.36 states/eV/f.u.. Number 4: N(E_F) 24.99 states/eV/f.u.. Number 5: N(E_F) 9.50 states/eV/f.u.. Number 6: N(E_F) 4.58 states/eV/f.u.. Number 7: N(E_F) 5.51 states/eV/f.u.. Number 8: N(E_F) 7.40 states/eV/f.u..